Compound: KVRhO4
Source: Alexandria
Functional: PBE with a Hubbard U
Structure: relaxed

Cell and atoms, written as POSCAR:
```
KVRhO4
1.0
5.575 0.000 0.000
0.000 5.669 0.000
-1.830 0.000 6.895
K V Rh O
2 2 2 8
Direct
0.235 0.250 0.460
0.765 0.750 0.540
0.243 0.750 0.133
0.757 0.250 0.867
0.257 0.250 0.972
0.743 0.750 0.028
0.024 0.750 0.900
0.045 0.750 0.291
0.451 0.510 0.188
0.451 0.990 0.188
0.549 0.010 0.812
0.549 0.490 0.812
0.955 0.250 0.709
0.976 0.250 0.100
```

## Properties
E_tot: -89.1 eV/cell
Magnetic moment: 1.783 Bohr magnetons per cell

Compound: K3VRh3O8
Source: Alexandria
Functional: PBE with a Hubbard U
Structure: relaxed

Cell and atoms, written as POSCAR:
```
K3VRh3O8
1.0
5.382 -3.152 0.000
5.382 3.152 0.000
-3.551 0.000 6.072
K V Rh O
3 1 3 8
Direct
0.000 0.000 0.000
0.000 0.500 0.000
0.500 0.000 0.000
0.000 0.000 0.500
0.000 0.500 0.500
0.500 0.000 0.500
0.500 0.500 0.500
0.212 0.212 0.666
0.220 0.735 0.669
0.265 0.780 0.331
0.278 0.278 0.334
0.722 0.722 0.666
0.735 0.220 0.669
0.780 0.265 0.331
0.788 0.788 0.334
```

## Properties
E_tot: -91.0 eV/cell
Magnetic moment: 0.977 Bohr magnetons per cell

Compound: KV2RhO8
Source: Alexandria
Functional: PBE with a Hubbard U
Structure: relaxed

Cell and atoms, written as POSCAR:
```
KV2RhO8
1.0
5.622 0.000 0.000
-2.811 4.869 0.000
0.000 0.000 7.380
K V Rh O
1 2 1 8
Direct
0.000 0.000 0.000
0.333 0.667 0.271
0.667 0.333 0.729
0.000 0.000 0.500
0.160 0.321 0.343
0.160 0.840 0.343
0.321 0.160 0.657
0.333 0.667 0.046
0.667 0.333 0.954
0.679 0.840 0.343
0.840 0.160 0.657
0.840 0.679 0.657
```

## Properties
E_tot: -80.3 eV/cell
Magnetic moment: 1.916 Bohr magnetons per cell

Compound: K2RhWO6
Source: Alexandria
Functional: PBE with a Hubbard U
Structure: relaxed

Cell and atoms, written as POSCAR:
```
K2RhWO6
1.0
0.000 3.972 3.972
3.972 0.000 3.972
3.972 3.972 0.000
K Rh W O
2 1 1 6
Direct
0.250 0.250 0.250
0.750 0.750 0.750
0.000 0.000 0.000
0.500 0.500 0.500
0.254 0.254 0.746
0.254 0.746 0.254
0.254 0.746 0.746
0.746 0.254 0.254
0.746 0.254 0.746
0.746 0.746 0.254
```

## Properties
E_tot: -61.9 eV/cell
Magnetic moment: 0.001 Bohr magnetons per cell